1.
! CoRePt | Alexandria via LeMat-Bulk | PBE-GGA | relaxed; values from VASP
! - energy of formation (meV per atom) = 10
! - total DFT energy (no corrections) (eV per cell) = -51.13
! - DOS(E_F) (states/eV/f.u.) = 3.604
! - space-group type = C2, No. 5
&SYSTEM
  ibrav = 0, nat = 6, ntyp = 3
/
ATOMIC_SPECIES
Co 58.93 Co.upf
Re 186.21 Re.upf
Pt 195.08 Pt.upf
ATOMIC_POSITIONS angstrom
Co 0.000 0.000 0.000
Co 2.328 -1.381 0.000
Re 2.328 1.224 0.000
Re 1.597 -0.033 2.187
Pt 1.597 2.725 2.187
Pt 1.597 -2.720 2.187
CELL_PARAMETERS angstrom
2.328 -4.074 0.000
2.328 4.074 0.000
-1.462 0.000 4.374

2.
! CoRe2Pt | Alexandria via LeMat-Bulk | PBE-GGA | relaxed; values from VASP
! - energy of formation (meV per atom) = 0
! - total DFT energy (no corrections) (eV per cell) = -38.04
! - DOS(E_F) (states/eV/f.u.) = 3.989
! - space-group type = I-4m2, No. 119
&SYSTEM
  ibrav = 0, nat = 4, ntyp = 3
/
ATOMIC_SPECIES
Co 58.93 Co.upf
Re 186.21 Re.upf
Pt 195.08 Pt.upf
ATOMIC_POSITIONS angstrom
Co 0.000 0.000 0.000
Re 1.938 0.000 1.873
Re 0.000 0.000 3.746
Pt 0.000 1.938 1.873
CELL_PARAMETERS angstrom
-1.938 1.938 3.746
1.938 -1.938 3.746
1.938 1.938 -3.746

3.
! CoRePt | Alexandria via LeMat-Bulk | PBE-GGA | relaxed; values from VASP
! - energy of formation (meV per atom) = -34
! - total DFT energy (no corrections) (eV per cell) = -51.40
! - DOS(E_F) (states/eV/f.u.) = 2.479
! - space-group type = P-1, No. 2
&SYSTEM
  ibrav = 0, nat = 6, ntyp = 3
/
ATOMIC_SPECIES
Co 58.93 Co.upf
Re 186.21 Re.upf
Pt 195.08 Pt.upf
ATOMIC_POSITIONS angstrom
Co -0.764 1.361 1.090
Co 0.840 1.331 3.259
Re -1.508 0.031 3.259
Re 1.583 2.660 1.090
Pt 1.515 -0.003 1.077
Pt -1.439 2.695 3.272
CELL_PARAMETERS angstrom
4.641 0.000 0.000
-2.298 4.045 0.000
-2.268 -1.353 4.349

4.
! CoRePt2 | Alexandria via LeMat-Bulk | PBE-GGA | relaxed; values from VASP
! - energy of formation (meV per atom) = -57
! - total DFT energy (no corrections) (eV per cell) = -31.86
! - DOS(E_F) (states/eV/f.u.) = 4.218
! - space-group type = P4/mmm, No. 123
&SYSTEM
  ibrav = 0, nat = 4, ntyp = 3
/
ATOMIC_SPECIES
Co 58.93 Co.upf
Re 186.21 Re.upf
Pt 195.08 Pt.upf
ATOMIC_POSITIONS angstrom
Co 0.000 0.000 0.000
Re 0.000 0.000 3.843
Pt 1.365 1.365 1.874
Pt 1.365 1.365 5.813
CELL_PARAMETERS angstrom
2.730 0.000 0.000
0.000 2.730 0.000
0.000 0.000 7.686

5.
! CoRePt2 | Alexandria via LeMat-Bulk | PBE-GGA | relaxed; values from VASP
! - energy of formation (meV per atom) = -54
! - total DFT energy (no corrections) (eV per cell) = -31.85
! - DOS(E_F) (states/eV/f.u.) = 3.931
! - space-group type = Cm, No. 8
&SYSTEM
  ibrav = 0, nat = 4, ntyp = 3
/
ATOMIC_SPECIES
Co 58.93 Co.upf
Re 186.21 Re.upf
Pt 195.08 Pt.upf
ATOMIC_POSITIONS angstrom
Co 0.000 0.000 0.000
Re 1.721 0.000 3.551
Pt 4.151 0.000 2.462
Pt 6.551 0.000 1.126
CELL_PARAMETERS angstrom
4.501 -1.356 0.000
4.501 1.356 0.000
-0.811 0.000 4.693

6.
! CoRe2Pt | Alexandria via LeMat-Bulk | PBE-GGA | relaxed; values from VASP
! - energy of formation (meV per atom) = -7
! - total DFT energy (no corrections) (eV per cell) = -38.07
! - DOS(E_F) (states/eV/f.u.) = 4.145
! - space-group type = Pmm2, No. 25
&SYSTEM
  ibrav = 0, nat = 4, ntyp = 3
/
ATOMIC_SPECIES
Co 58.93 Co.upf
Re 186.21 Re.upf
Pt 195.08 Pt.upf
ATOMIC_POSITIONS angstrom
Co 0.000 0.000 0.000
Re 0.000 0.000 2.832
Re 1.339 1.925 4.234
Pt 1.339 1.925 1.389
CELL_PARAMETERS angstrom
2.678 0.000 0.000
0.000 3.851 0.000
0.000 0.000 5.450

7.
! CoRePt | Alexandria via LeMat-Bulk | PBE-GGA | relaxed; values from VASP
! - energy of formation (meV per atom) = -33
! - total DFT energy (no corrections) (eV per cell) = -25.69
! - DOS(E_F) (states/eV/f.u.) = 2.641
! - space-group type = I4mm, No. 107
&SYSTEM
  ibrav = 0, nat = 3, ntyp = 3
/
ATOMIC_SPECIES
Co 58.93 Co.upf
Re 186.21 Re.upf
Pt 195.08 Pt.upf
ATOMIC_POSITIONS angstrom
Co 0.000 0.000 0.000
Re 0.000 0.000 7.181
Pt 0.000 0.000 3.629
CELL_PARAMETERS angstrom
-1.362 1.362 5.563
1.362 -1.362 5.563
1.362 1.362 -5.563

8.
! CoRe2Pt | Alexandria via LeMat-Bulk | PBE-GGA | relaxed; values from VASP
! - energy of formation (meV per atom) = 42
! - total DFT energy (no corrections) (eV per cell) = -37.87
! - DOS(E_F) (states/eV/f.u.) = 4.537
! - space-group type = R3m, No. 160
&SYSTEM
  ibrav = 0, nat = 4, ntyp = 3
/
ATOMIC_SPECIES
Co 58.93 Co.upf
Re 186.21 Re.upf
Pt 195.08 Pt.upf
ATOMIC_POSITIONS angstrom
Co 0.000 0.000 0.000
Re 0.000 0.000 13.118
Re 0.000 0.000 19.729
Pt 0.000 0.000 6.653
CELL_PARAMETERS angstrom
1.371 0.791 8.810
-1.371 0.791 8.810
0.000 -1.583 8.810

9.
! CoRePt2 | Alexandria via LeMat-Bulk | PBE-GGA | relaxed; values from VASP
! - energy of formation (meV per atom) = 100
! - total DFT energy (no corrections) (eV per cell) = -31.24
! - DOS(E_F) (states/eV/f.u.) = 4.559
! - space-group type = P4/mmm, No. 123
&SYSTEM
  ibrav = 0, nat = 4, ntyp = 3
/
ATOMIC_SPECIES
Co 58.93 Co.upf
Re 186.21 Re.upf
Pt 195.08 Pt.upf
ATOMIC_POSITIONS angstrom
Co 0.000 0.000 0.000
Re 1.906 1.906 0.000
Pt 0.000 1.906 1.967
Pt 1.906 0.000 1.967
CELL_PARAMETERS angstrom
3.813 0.000 0.000
0.000 3.813 0.000
0.000 0.000 3.935

10.
! CoRe2Pt | Alexandria via LeMat-Bulk | PBE-GGA | relaxed; values from VASP
! - energy of formation (meV per atom) = 58
! - total DFT energy (no corrections) (eV per cell) = -37.81
! - DOS(E_F) (states/eV/f.u.) = 4.886
! - space-group type = P2/m, No. 10
&SYSTEM
  ibrav = 0, nat = 4, ntyp = 3
/
ATOMIC_SPECIES
Co 58.93 Co.upf
Re 186.21 Re.upf
Pt 195.08 Pt.upf
ATOMIC_POSITIONS angstrom
Co 0.000 0.000 0.000
Re -0.772 1.357 2.235
Re 1.558 0.000 2.235
Pt 2.330 1.357 0.000
CELL_PARAMETERS angstrom
4.660 0.000 0.000
0.000 2.713 0.000
-1.544 0.000 4.471

11.
! Co3RePt | Alexandria via LeMat-Bulk | PBE-GGA | relaxed; values from VASP
! - energy of formation (meV per atom) = 1525
! - total DFT energy (no corrections) (eV per cell) = -32.18
! - DOS(E_F) (states/eV/f.u.) = 9.693
! - space-group type = Pm-3m, No. 221
&SYSTEM
  ibrav = 0, nat = 5, ntyp = 3
/
ATOMIC_SPECIES
Co 58.93 Co.upf
Re 186.21 Re.upf
Pt 195.08 Pt.upf
ATOMIC_POSITIONS angstrom
Co 0.000 0.000 2.187
Co 0.000 2.187 0.000
Co 2.187 0.000 0.000
Re 0.000 0.000 0.000
Pt 2.187 2.187 2.187
CELL_PARAMETERS angstrom
4.375 0.000 0.000
0.000 4.375 0.000
0.000 0.000 4.375

12.
! CoRePt2 | Alexandria via LeMat-Bulk | PBE-GGA | relaxed; values from VASP
! - energy of formation (meV per atom) = 593
! - total DFT energy (no corrections) (eV per cell) = -58.53
! - DOS(E_F) (states/eV/f.u.) = 5.877
! - space-group type = I-42d, No. 122
&SYSTEM
  ibrav = 0, nat = 8, ntyp = 3
/
ATOMIC_SPECIES
Co 58.93 Co.upf
Re 186.21 Re.upf
Pt 195.08 Pt.upf
ATOMIC_POSITIONS angstrom
Co 0.000 0.000 0.000
Co 0.000 3.430 1.327
Re 3.430 0.000 1.327
Re 0.000 0.000 2.655
Pt 5.145 1.656 -0.664
Pt 1.656 1.715 0.664
Pt -1.715 1.774 1.991
Pt 1.774 1.715 3.318
CELL_PARAMETERS angstrom
-3.430 3.430 2.655
3.430 -3.430 2.655
3.430 3.430 -2.655

We obtain size of the total moment values of 1.00; 1.02; 0.00; 1.83; 1.56; 0.15; 1.03; 2.02; 2.32; 0.85; 1.98; 0.84 μB/f.u. for the records listed above, in that order.
We obtain energy above the most stable polymorph in this dataset values of 0.093; 0.007; 0.048; 0.030; 0.032; 0.000; 0.050; 0.049; 0.187; 0.065; 0.000; 0.679 eV per atom for the records listed above, in that order.